DFT (PBE-GGA) results for CrAsS2N after structural relaxation.

```
data_CrAsS2N
_space_group_name_H-M_alt 'P 4/m m m'
_space_group_IT_number 123
_space_group_name_Hall '-P 4 2'
_cell_length_a 4.8271
_cell_length_b 4.8271
_cell_length_c 3.6158
_cell_angle_alpha 90.00
_cell_angle_beta 90.00
_cell_angle_gamma 90.00
loop_
_atom_site_label
_atom_site_type_symbol
_atom_site_fract_x
_atom_site_fract_y
_atom_site_fract_z
_atom_site_occupancy
Cr1 Cr 0.0000 0.0000 0.0000 1
As1 As 0.5000 0.5000 0.5000 1
S1 S 0.0000 0.5000 0.5000 1
N1 N 0.5000 0.5000 0.0000 1
```

Results
Fermi-level density of states, states/eV per cell: 3.860
E_form (uncorrected), kJ/mol of atoms: 81.9
Relative energy among the computed polymorphs, meV/atom: 547
Magnetization, μB/cell: 3.4
Final energy, eV per cell: -26.6

DFT (PBE-GGA) results for CrAsSN2 after structural relaxation.

```
data_CrAsSN2
_space_group_name_H-M_alt 'P 4/m m m'
_space_group_IT_number 123
_space_group_name_Hall '-P 4 2'
_cell_length_a 3.7028
_cell_length_b 3.7028
_cell_length_c 5.0139
_cell_angle_alpha 90.00
_cell_angle_beta 90.00
_cell_angle_gamma 90.00
loop_
_atom_site_label
_atom_site_type_symbol
_atom_site_fract_x
_atom_site_fract_y
_atom_site_fract_z
_atom_site_occupancy
Cr1 Cr 0.0000 0.0000 0.0000 1
As1 As 0.5000 0.5000 0.5000 1
S1 S 0.0000 0.0000 0.5000 1
N1 N 0.0000 0.5000 0.0000 1
```

Results
Fermi-level density of states, states/eV per cell: 2.482
E_form (uncorrected), kJ/mol of atoms: 61.1
Relative energy among the computed polymorphs, meV/atom: 0
Magnetization, μB/cell: 0.9
Final energy, eV per cell: -31.9

DFT (PBE-GGA) results for CrAsSN2 after structural relaxation.

```
data_CrAsSN2
_space_group_name_H-M_alt 'P 4/m m m'
_space_group_IT_number 123
_space_group_name_Hall '-P 4 2'
_cell_length_a 3.6259
_cell_length_b 3.6259
_cell_length_c 5.6970
_cell_angle_alpha 90.00
_cell_angle_beta 90.00
_cell_angle_gamma 90.00
loop_
_atom_site_label
_atom_site_type_symbol
_atom_site_fract_x
_atom_site_fract_y
_atom_site_fract_z
_atom_site_occupancy
Cr1 Cr 0.0000 0.0000 0.0000 1
As1 As 0.5000 0.5000 0.5000 1
S1 S 0.5000 0.5000 0.0000 1
N1 N 0.0000 0.5000 0.5000 1
```

Results
Fermi-level density of states, states/eV per cell: 3.743
E_form (uncorrected), kJ/mol of atoms: 108.2
Relative energy among the computed polymorphs, meV/atom: 489
Magnetization, μB/cell: 3.4
Final energy, eV per cell: -29.4

DFT (PBE-GGA) results for CrAsS2N after structural relaxation.

```
data_CrAsS2N
_space_group_name_H-M_alt 'P 4/m m m'
_space_group_IT_number 123
_space_group_name_Hall '-P 4 2'
_cell_length_a 4.7156
_cell_length_b 4.7156
_cell_length_c 3.5234
_cell_angle_alpha 90.00
_cell_angle_beta 90.00
_cell_angle_gamma 90.00
loop_
_atom_site_label
_atom_site_type_symbol
_atom_site_fract_x
_atom_site_fract_y
_atom_site_fract_z
_atom_site_occupancy
Cr1 Cr 0.0000 0.0000 0.0000 1
As1 As 0.5000 0.5000 0.5000 1
S1 S 0.0000 0.5000 0.0000 1
N1 N 0.0000 0.0000 0.5000 1
```

Results
Fermi-level density of states, states/eV per cell: 2.212
E_form (uncorrected), kJ/mol of atoms: 29.1
Relative energy among the computed polymorphs, meV/atom: 0
Magnetization, μB/cell: 1.2
Final energy, eV per cell: -29.3

DFT (PBE-GGA) results for CrAs2SeN after structural relaxation.

```
data_CrAs2SeN
_space_group_name_H-M_alt 'P 4/m m m'
_space_group_IT_number 123
_space_group_name_Hall '-P 4 2'
_cell_length_a 4.6452
_cell_length_b 4.6452
_cell_length_c 4.5976
_cell_angle_alpha 90.00
_cell_angle_beta 90.00
_cell_angle_gamma 90.00
loop_
_atom_site_label
_atom_site_type_symbol
_atom_site_fract_x
_atom_site_fract_y
_atom_site_fract_z
_atom_site_occupancy
Cr1 Cr 0.0000 0.0000 0.0000 1
As1 As 0.0000 0.5000 0.0000 1
Se1 Se 0.0000 0.0000 0.5000 1
N1 N 0.5000 0.5000 0.5000 1
```

Results
Fermi-level density of states, states/eV per cell: 4.739
E_form (uncorrected), kJ/mol of atoms: 122.2
Relative energy among the computed polymorphs, meV/atom: 472
Magnetization, μB/cell: 1.3
Final energy, eV per cell: -24.4

DFT (PBE-GGA) results for CrAs2SeN after structural relaxation.

```
data_CrAs2SeN
_space_group_name_H-M_alt 'P 4/m m m'
_space_group_IT_number 123
_space_group_name_Hall '-P 4 2'
_cell_length_a 4.2903
_cell_length_b 4.2903
_cell_length_c 4.4397
_cell_angle_alpha 90.00
_cell_angle_beta 90.00
_cell_angle_gamma 90.00
loop_
_atom_site_label
_atom_site_type_symbol
_atom_site_fract_x
_atom_site_fract_y
_atom_site_fract_z
_atom_site_occupancy
Cr1 Cr 0.0000 0.0000 0.0000 1
As1 As 0.0000 0.5000 0.5000 1
Se1 Se 0.5000 0.5000 0.0000 1
N1 N 0.5000 0.5000 0.5000 1
```

Results
Fermi-level density of states, states/eV per cell: 1.317
E_form (uncorrected), kJ/mol of atoms: 76.7
Relative energy among the computed polymorphs, meV/atom: 0
Magnetization, μB/cell: 3.1
Final energy, eV per cell: -26.8

DFT (PBE-GGA) results for CrAsSeN2 after structural relaxation.

```
data_CrAsSeN2
_space_group_name_H-M_alt 'P 4/m m m'
_space_group_IT_number 123
_space_group_name_Hall '-P 4 2'
_cell_length_a 3.7162
_cell_length_b 3.7162
_cell_length_c 5.1933
_cell_angle_alpha 90.00
_cell_angle_beta 90.00
_cell_angle_gamma 90.00
loop_
_atom_site_label
_atom_site_type_symbol
_atom_site_fract_x
_atom_site_fract_y
_atom_site_fract_z
_atom_site_occupancy
Cr1 Cr 0.0000 0.0000 0.0000 1
As1 As 0.5000 0.5000 0.5000 1
Se1 Se 0.0000 0.0000 0.5000 1
N1 N 0.0000 0.5000 0.0000 1
```

Results
Fermi-level density of states, states/eV per cell: 4.672
E_form (uncorrected), kJ/mol of atoms: 64.5
Relative energy among the computed polymorphs, meV/atom: 0
Magnetization, μB/cell: 0.0
Final energy, eV per cell: -31.1

DFT (PBE-GGA) results for CrAsSeN2 after structural relaxation.

```
data_CrAsSeN2
_space_group_name_H-M_alt 'P 4/m m m'
_space_group_IT_number 123
_space_group_name_Hall '-P 4 2'
_cell_length_a 3.6208
_cell_length_b 3.6208
_cell_length_c 6.7316
_cell_angle_alpha 90.00
_cell_angle_beta 90.00
_cell_angle_gamma 90.00
loop_
_atom_site_label
_atom_site_type_symbol
_atom_site_fract_x
_atom_site_fract_y
_atom_site_fract_z
_atom_site_occupancy
Cr1 Cr 0.0000 0.0000 0.0000 1
As1 As 0.5000 0.5000 0.5000 1
Se1 Se 0.5000 0.5000 0.0000 1
N1 N 0.0000 0.5000 0.5000 1
```

Results
Fermi-level density of states, states/eV per cell: 8.246
E_form (uncorrected), kJ/mol of atoms: 148.8
Relative energy among the computed polymorphs, meV/atom: 874
Magnetization, μB/cell: 0.1
Final energy, eV per cell: -26.7

DFT (PBE-GGA) results for CrSi2AsN after structural relaxation.

```
data_CrSi2AsN
_space_group_name_H-M_alt 'P 4/m m m'
_space_group_IT_number 123
_space_group_name_Hall '-P 4 2'
_cell_length_a 4.7695
_cell_length_b 4.7695
_cell_length_c 3.5319
_cell_angle_alpha 90.00
_cell_angle_beta 90.00
_cell_angle_gamma 90.00
loop_
_atom_site_label
_atom_site_type_symbol
_atom_site_fract_x
_atom_site_fract_y
_atom_site_fract_z
_atom_site_occupancy
Cr1 Cr 0.0000 0.0000 0.0000 1
Si1 Si 0.0000 0.5000 0.0000 1
As1 As 0.5000 0.5000 0.5000 1
N1 N 0.0000 0.0000 0.5000 1
```

Results
Fermi-level density of states, states/eV per cell: 3.518
E_form (uncorrected), kJ/mol of atoms: 55.3
Magnetization, μB/cell: 1.3
Final energy, eV per cell: -30.6

DFT (PBE-GGA) results for SrCrAs2N after structural relaxation.

```
data_SrCrAs2N
_space_group_name_H-M_alt 'P 4/m m m'
_space_group_IT_number 123
_space_group_name_Hall '-P 4 2'
_cell_length_a 5.0850
_cell_length_b 5.0850
_cell_length_c 3.7373
_cell_angle_alpha 90.00
_cell_angle_beta 90.00
_cell_angle_gamma 90.00
loop_
_atom_site_label
_atom_site_type_symbol
_atom_site_fract_x
_atom_site_fract_y
_atom_site_fract_z
_atom_site_occupancy
Sr1 Sr 0.0000 0.0000 0.0000 1
Cr1 Cr 0.5000 0.5000 0.0000 1
As1 As 0.0000 0.5000 0.5000 1
N1 N 0.5000 0.5000 0.5000 1
```

Results
Fermi-level density of states, states/eV per cell: 2.207
E_form (uncorrected), kJ/mol of atoms: 0.7
Magnetization, μB/cell: 2.4
Final energy, eV per cell: -28.9

DFT (PBE-GGA) results for CrTeAsN2 after structural relaxation.

```
data_CrTeAsN2
_space_group_name_H-M_alt 'P 4/m m m'
_space_group_IT_number 123
_space_group_name_Hall '-P 4 2'
_cell_length_a 3.7527
_cell_length_b 3.7527
_cell_length_c 7.0255
_cell_angle_alpha 90.00
_cell_angle_beta 90.00
_cell_angle_gamma 90.00
loop_
_atom_site_label
_atom_site_type_symbol
_atom_site_fract_x
_atom_site_fract_y
_atom_site_fract_z
_atom_site_occupancy
Cr1 Cr 0.0000 0.0000 0.0000 1
Te1 Te 0.5000 0.5000 0.0000 1
As1 As 0.5000 0.5000 0.5000 1
N1 N 0.0000 0.5000 0.5000 1
```

Results
Fermi-level density of states, states/eV per cell: 2.334
E_form (uncorrected), kJ/mol of atoms: 124.7
Relative energy among the computed polymorphs, meV/atom: 542
Magnetization, μB/cell: 4.6
Final energy, eV per cell: -27.6

DFT (PBE-GGA) results for CrTeAsN2 after structural relaxation.

```
data_CrTeAsN2
_space_group_name_H-M_alt 'P 4/m m m'
_space_group_IT_number 123
_space_group_name_Hall '-P 4 2'
_cell_length_a 3.8344
_cell_length_b 3.8344
_cell_length_c 5.6751
_cell_angle_alpha 90.00
_cell_angle_beta 90.00
_cell_angle_gamma 90.00
loop_
_atom_site_label
_atom_site_type_symbol
_atom_site_fract_x
_atom_site_fract_y
_atom_site_fract_z
_atom_site_occupancy
Cr1 Cr 0.0000 0.0000 0.0000 1
Te1 Te 0.0000 0.0000 0.5000 1
As1 As 0.5000 0.5000 0.5000 1
N1 N 0.0000 0.5000 0.0000 1
```

Results
Fermi-level density of states, states/eV per cell: 2.513
E_form (uncorrected), kJ/mol of atoms: 72.5
Relative energy among the computed polymorphs, meV/atom: 0
Magnetization, μB/cell: 0.7
Final energy, eV per cell: -30.3

DFT (PBE-GGA) results for TiCrAsN2 after structural relaxation.

```
data_TiCrAsN2
_space_group_name_H-M_alt 'P 4/m m m'
_space_group_IT_number 123
_space_group_name_Hall '-P 4 2'
_cell_length_a 3.6599
_cell_length_b 3.6599
_cell_length_c 5.0176
_cell_angle_alpha 90.00
_cell_angle_beta 90.00
_cell_angle_gamma 90.00
loop_
_atom_site_label
_atom_site_type_symbol
_atom_site_fract_x
_atom_site_fract_y
_atom_site_fract_z
_atom_site_occupancy
Ti1 Ti 0.0000 0.0000 0.0000 1
Cr1 Cr 0.5000 0.5000 0.5000 1
As1 As 0.5000 0.5000 0.0000 1
N1 N 0.0000 0.5000 0.5000 1
```

Results
Fermi-level density of states, states/eV per cell: 3.446
E_form (uncorrected), kJ/mol of atoms: 26.9
Magnetization, μB/cell: 0.0
Final energy, eV per cell: -37.4

DFT (PBE-GGA) results for TlCr2AsN after structural relaxation.

```
data_TlCr2AsN
_space_group_name_H-M_alt 'P 4/m m m'
_space_group_IT_number 123
_space_group_name_Hall '-P 4 2'
_cell_length_a 4.0461
_cell_length_b 4.0461
_cell_length_c 5.0336
_cell_angle_alpha 90.00
_cell_angle_beta 90.00
_cell_angle_gamma 90.00
loop_
_atom_site_label
_atom_site_type_symbol
_atom_site_fract_x
_atom_site_fract_y
_atom_site_fract_z
_atom_site_occupancy
Tl1 Tl 0.0000 0.0000 0.0000 1
Cr1 Cr 0.0000 0.5000 0.5000 1
As1 As 0.5000 0.5000 0.0000 1
N1 N 0.5000 0.5000 0.5000 1
```

Results
Fermi-level density of states, states/eV per cell: 3.944
E_form (uncorrected), kJ/mol of atoms: 41.6
Magnetization, μB/cell: 6.5
Final energy, eV per cell: -32.4

DFT (PBE-GGA) results for CrAsW2N after structural relaxation.

```
data_CrAsW2N
_space_group_name_H-M_alt 'P 4/m m m'
_space_group_IT_number 123
_space_group_name_Hall '-P 4 2'
_cell_length_a 4.6881
_cell_length_b 4.6881
_cell_length_c 3.4966
_cell_angle_alpha 90.00
_cell_angle_beta 90.00
_cell_angle_gamma 90.00
loop_
_atom_site_label
_atom_site_type_symbol
_atom_site_fract_x
_atom_site_fract_y
_atom_site_fract_z
_atom_site_occupancy
Cr1 Cr 0.0000 0.0000 0.0000 1
As1 As 0.5000 0.5000 0.5000 1
W1 W 0.0000 0.5000 0.0000 1
N1 N 0.0000 0.0000 0.5000 1
```

Results
Fermi-level density of states, states/eV per cell: 4.460
E_form (uncorrected), kJ/mol of atoms: 112.5
Magnetization, μB/cell: 0.0
Final energy, eV per cell: -42.7

DFT (PBE-GGA) results for CrAs2WN after structural relaxation.

```
data_CrAs2WN
_space_group_name_H-M_alt 'P 4/m m m'
_space_group_IT_number 123
_space_group_name_Hall '-P 4 2'
_cell_length_a 4.3871
_cell_length_b 4.3871
_cell_length_c 4.6448
_cell_angle_alpha 90.00
_cell_angle_beta 90.00
_cell_angle_gamma 90.00
loop_
_atom_site_label
_atom_site_type_symbol
_atom_site_fract_x
_atom_site_fract_y
_atom_site_fract_z
_atom_site_occupancy
Cr1 Cr 0.0000 0.0000 0.0000 1
As1 As 0.0000 0.5000 0.0000 1
W1 W 0.0000 0.0000 0.5000 1
N1 N 0.5000 0.5000 0.5000 1
```

Results
Fermi-level density of states, states/eV per cell: 5.473
E_form (uncorrected), kJ/mol of atoms: 177.5
Magnetization, μB/cell: 0.1
Final energy, eV per cell: -31.0

DFT (PBE-GGA) results for Y2CrAsN after structural relaxation.

```
data_Y2CrAsN
_space_group_name_H-M_alt 'P 4/m m m'
_space_group_IT_number 123
_space_group_name_Hall '-P 4 2'
_cell_length_a 5.3510
_cell_length_b 5.3510
_cell_length_c 4.5009
_cell_angle_alpha 90.00
_cell_angle_beta 90.00
_cell_angle_gamma 90.00
loop_
_atom_site_label
_atom_site_type_symbol
_atom_site_fract_x
_atom_site_fract_y
_atom_site_fract_z
_atom_site_occupancy
Y1 Y 0.0000 0.5000 0.0000 1
Cr1 Cr 0.0000 0.0000 0.5000 1
As1 As 0.0000 0.0000 0.0000 1
N1 N 0.5000 0.5000 0.5000 1
```

Results
Fermi-level density of states, states/eV per cell: 3.447
E_form (uncorrected), kJ/mol of atoms: 69.6
Magnetization, μB/cell: 4.1
Final energy, eV per cell: -31.9

DFT (PBE-GGA) results for Na3CrAs after structural relaxation.

```
data_Na3CrAs
_space_group_name_H-M_alt 'P m -3 m'
_space_group_IT_number 221
_space_group_name_Hall '-P 4 2 3'
_cell_length_a 5.5589
_cell_length_b 5.5589
_cell_length_c 5.5589
_cell_angle_alpha 90.00
_cell_angle_beta 90.00
_cell_angle_gamma 90.00
loop_
_atom_site_label
_atom_site_type_symbol
_atom_site_fract_x
_atom_site_fract_y
_atom_site_fract_z
_atom_site_occupancy
Na1 Na 0.0000 0.0000 0.5000 1
Cr1 Cr 0.5000 0.5000 0.5000 1
As1 As 0.0000 0.0000 0.0000 1
```

Results
Fermi-level density of states, states/eV per cell: 0.981
ΔH_f (0 K), eV/atom: 0.41
Relative energy among the computed polymorphs, meV/atom: 0
Magnetization, μB/cell: 6.0
Final energy, eV per cell: -16.2

DFT (PBE-GGA) results for NaCrAs3 after structural relaxation.

```
data_NaCrAs3
_space_group_name_H-M_alt 'P m -3 m'
_space_group_IT_number 221
_space_group_name_Hall '-P 4 2 3'
_cell_length_a 4.7564
_cell_length_b 4.7564
_cell_length_c 4.7564
_cell_angle_alpha 90.00
_cell_angle_beta 90.00
_cell_angle_gamma 90.00
loop_
_atom_site_label
_atom_site_type_symbol
_atom_site_fract_x
_atom_site_fract_y
_atom_site_fract_z
_atom_site_occupancy
Na1 Na 0.0000 0.0000 0.0000 1
Cr1 Cr 0.5000 0.5000 0.5000 1
As1 As 0.0000 0.5000 0.5000 1
```

Results
Fermi-level density of states, states/eV per cell: 6.513
ΔH_f (0 K), eV/atom: 0.11
Relative energy among the computed polymorphs, meV/atom: 0
Magnetization, μB/cell: 1.3
Final energy, eV per cell: -24.3

DFT (PBE-GGA) results for Na2CrAs after structural relaxation.

```
data_Na2CrAs
_space_group_name_H-M_alt 'I -4 2 d'
_space_group_IT_number 122
_space_group_name_Hall 'I -4 2bw'
_cell_length_a 11.0178
_cell_length_b 11.0178
_cell_length_c 4.8080
_cell_angle_alpha 90.00
_cell_angle_beta 90.00
_cell_angle_gamma 90.00
loop_
_atom_site_label
_atom_site_type_symbol
_atom_site_fract_x
_atom_site_fract_y
_atom_site_fract_z
_atom_site_occupancy
Na1 Na 0.0601 0.2500 0.1250 1
Cr1 Cr 0.0000 0.0000 0.5000 1
As1 As 0.0000 0.0000 0.0000 1
```

Results
Fermi-level density of states, states/eV per cell: 5.170
ΔH_f (0 K), eV/atom: 0.14
Magnetization, μB/cell: 18.7
Final energy, eV per cell: -65.4